1.
Compound: BaScNF2
Source: Alexandria
Functional: GGA-PBE
Structure: optimized geometry

D(E_F) = 5.75 states/eV/cell
Excess energy over the best structure of this formula in the dataset = 2.597 eV per atom
Energy relative to the elements, uncorrected = -25.7 meV per atom

Cell and atoms, written as CIF:
```
data_BaScNF2
_space_group_name_H-M_alt 'P 4/m m m'
_space_group_IT_number 123
_space_group_name_Hall '-P 4 2'
_cell_length_a 5.351
_cell_length_b 5.351
_cell_length_c 4.200
_cell_angle_alpha 90.00
_cell_angle_beta 90.00
_cell_angle_gamma 90.00
loop_
_atom_site_label
_atom_site_type_symbol
_atom_site_fract_x
_atom_site_fract_y
_atom_site_fract_z
Ba1 Ba 0.000 0.000 0.000
Sc1 Sc 0.500 0.500 0.000
N1 N 0.000 0.000 0.500
F1 F 0.000 0.500 0.500
```

---

2.
Compound: DyGa12Ir7
Source: Alexandria
Functional: GGA-PBE
Structure: optimized geometry

D(E_F) = 23.26 states/eV/cell
Energy relative to the elements = -1.1 eV per formula unit

Cell and atoms, written as CIF:
```
data_DyGa12Ir7
_space_group_name_H-M_alt 'I m -3'
_space_group_IT_number 204
_space_group_name_Hall '-I 2 2 3'
_cell_length_a 9.201
_cell_length_b 9.201
_cell_length_c 9.201
_cell_angle_alpha 90.00
_cell_angle_beta 90.00
_cell_angle_gamma 90.00
loop_
_atom_site_label
_atom_site_type_symbol
_atom_site_fract_x
_atom_site_fract_y
_atom_site_fract_z
Dy1 Dy 0.000 0.000 0.000
Ga1 Ga 0.000 0.335 0.219
Ir1 Ir 0.000 0.000 0.500
Ir2 Ir 0.250 0.250 0.250
```